VASP calculation (PBE) on a relaxed structure of AlFeBr2.

The total magnetization is 3.51 Bohr magnetons per cell. For the uncorrected formation energy, the calculation gives 0.261 eV per atom. The energy above the most stable polymorph in this dataset is 536 meV per atom. The calculation puts the density of states at the Fermi level at 0.427 states/eV per atom.

Lattice parameters (Å, degrees): 3.2514 3.2514 8.8595 90.00 90.00 90.00
Space group P4/mmm (No. 123)
Inequivalent atoms, fractional coordinates:
Al 0.0000 0.0000 0.0000
Fe 0.0000 0.0000 0.5000
Br 0.5000 0.5000 0.3159